[1]
A plane-wave DFT calculation with PBE-GGA was carried out for an optimized crystal structure of TaAl2Mo.

extended XYZ file:
```
4
Lattice="2.819 0.000 0.000 0.000 4.515 0.000 -0.596 0.000 5.041" Properties=species:S:1:pos:R:3 pbc="T T T"
Ta 0.000 0.000 0.000
Al 1.268 0.000 2.536
Al 1.537 2.258 1.113
Mo 0.048 2.258 3.617
```

crystal system = monoclinic
volume = 16.04 Å³ per atom
formation enthalpy at 0 K = -0.224 eV/atom
symmetry = Pm
offset from the most stable computed form = 0.0000 eV/atom



[2]
A plane-wave DFT calculation with PBE-GGA was carried out for an optimized crystal structure of TaAl2Mo.

extended XYZ file:
```
4
Lattice="3.375 0.000 0.000 0.000 3.375 0.000 0.000 0.000 5.637" Properties=species:S:1:pos:R:3 pbc="T T T"
Ta 0.000 0.000 0.000
Al 1.688 1.688 1.479
Al 1.688 1.688 4.159
Mo 0.000 0.000 2.819
```

crystal system = tetragonal
volume = 16.05 Å³ per atom
formation enthalpy at 0 K = -0.042 eV/atom
symmetry = P4/mmm
offset from the most stable computed form = 0.1817 eV/atom



[3]
A plane-wave DFT calculation with PBE-GGA was carried out for an optimized crystal structure of Ta4AlMo.

extended XYZ file:
```
6
Lattice="0.000 3.808 3.808 3.808 0.000 3.808 3.808 3.808 0.000" Properties=species:S:1:pos:R:3 pbc="T T T"
Ta 0.954 0.954 0.954
Ta 2.854 2.854 0.954
Ta 2.854 0.954 2.854
Ta 0.954 2.854 2.854
Al 5.712 5.712 5.712
Mo 3.808 3.808 3.808
```

crystal system = cubic
volume = 18.41 Å³ per atom
formation enthalpy at 0 K = 0.367 eV/atom
symmetry = F-43m
offset from the most stable computed form = 0.0000 eV/atom



[4]
A plane-wave DFT calculation with PBE-GGA was carried out for an optimized crystal structure of TaAl2Mo.

extended XYZ file:
```
4
Lattice="0.000 3.173 3.173 3.173 0.000 3.173 3.173 3.173 0.000" Properties=species:S:1:pos:R:3 pbc="T T T"
Ta 0.000 0.000 0.000
Al 1.587 1.587 1.587
Al 4.760 4.760 4.760
Mo 3.173 3.173 3.173
```

crystal system = cubic
volume = 15.97 Å³ per atom
formation enthalpy at 0 K = 0.064 eV/atom
symmetry = Fm-3m
offset from the most stable computed form = 0.2879 eV/atom



[5]
A plane-wave DFT calculation with PBE-GGA was carried out for an optimized crystal structure of TaAlMo.

extended XYZ file:
```
3
Lattice="4.534 0.000 0.000 -2.267 3.926 0.000 0.000 0.000 2.787" Properties=species:S:1:pos:R:3 pbc="T T T"
Ta 0.000 0.000 0.000
Al 2.267 1.309 1.093
Mo 0.000 2.618 1.995
```

crystal system = trigonal
volume = 16.54 Å³ per atom
formation enthalpy at 0 K = -0.159 eV/atom
symmetry = P3m1
offset from the most stable computed form = 0.0528 eV/atom



[6]
A plane-wave DFT calculation with PBE-GGA was carried out for an optimized crystal structure of TaAl3Mo.

extended XYZ file:
```
5
Lattice="4.634 0.000 0.000 0.000 4.634 0.000 0.000 0.000 4.634" Properties=species:S:1:pos:R:3 pbc="T T T"
Ta 0.000 0.000 0.000
Al 0.000 2.317 2.317
Al 2.317 0.000 2.317
Al 2.317 2.317 0.000
Mo 2.317 2.317 2.317
```

crystal system = cubic
volume = 19.91 Å³ per atom
formation enthalpy at 0 K = 1.019 eV/atom
symmetry = Pm-3m
offset from the most stable computed form = 0.0000 eV/atom



[7]
A plane-wave DFT calculation with PBE-GGA was carried out for an optimized crystal structure of TaAlMo.

extended XYZ file:
```
3
Lattice="0.000 3.089 3.089 3.089 0.000 3.089 3.089 3.089 0.000" Properties=species:S:1:pos:R:3 pbc="T T T"
Ta 0.000 0.000 0.000
Al 3.089 3.089 3.089
Mo 4.633 4.633 4.633
```

crystal system = cubic
volume = 19.64 Å³ per atom
formation enthalpy at 0 K = 0.574 eV/atom
symmetry = F-43m
offset from the most stable computed form = 0.7864 eV/atom



[8]
A plane-wave DFT calculation with PBE-GGA was carried out for an optimized crystal structure of TaAl2Mo.

extended XYZ file:
```
4
Lattice="1.439 0.831 9.189 -1.439 0.831 9.189 0.000 -1.662 9.189" Properties=species:S:1:pos:R:3 pbc="T T T"
Ta 0.000 0.000 0.000
Al 0.000 0.000 6.836
Al 0.000 0.000 20.731
Mo 0.000 0.000 13.783
```

crystal system = trigonal
volume = 16.48 Å³ per atom
formation enthalpy at 0 K = -0.023 eV/atom
symmetry = R-3m
offset from the most stable computed form = 0.2009 eV/atom



[9]
A plane-wave DFT calculation with PBE-GGA was carried out for an optimized crystal structure of TaAl2Mo.

extended XYZ file:
```
4
Lattice="1.672 -2.244 0.000 1.672 2.244 0.000 0.000 0.000 8.773" Properties=species:S:1:pos:R:3 pbc="T T T"
Ta 0.000 0.000 0.000
Al 0.000 0.000 4.440
Al 1.672 0.000 2.208
Mo 1.672 0.000 6.509
```

crystal system = orthorhombic
volume = 16.45 Å³ per atom
formation enthalpy at 0 K = -0.047 eV/atom
symmetry = Cmm2
offset from the most stable computed form = 0.1774 eV/atom



[10]
A plane-wave DFT calculation with PBE-GGA was carried out for an optimized crystal structure of TaAl2Mo.

extended XYZ file:
```
4
Lattice="2.791 0.000 0.000 0.000 2.791 0.000 0.000 0.000 8.257" Properties=species:S:1:pos:R:3 pbc="T T T"
Ta 0.000 0.000 0.000
Al 1.396 1.396 2.107
Al 1.396 1.396 6.150
Mo 0.000 0.000 4.129
```

crystal system = tetragonal
volume = 16.08 Å³ per atom
formation enthalpy at 0 K = -0.131 eV/atom
symmetry = P4/mmm
offset from the most stable computed form = 0.0928 eV/atom



[11]
A plane-wave DFT calculation with PBE-GGA was carried out for an optimized crystal structure of TaAlMo.

extended XYZ file:
```
3
Lattice="-1.685 1.685 4.378 1.685 -1.685 4.378 1.685 1.685 -4.378" Properties=species:S:1:pos:R:3 pbc="T T T"
Ta 0.000 0.000 0.000
Al 0.000 0.000 2.822
Mo 0.000 0.000 5.754
```

crystal system = tetragonal
volume = 16.57 Å³ per atom
formation enthalpy at 0 K = -0.212 eV/atom
symmetry = I4mm
offset from the most stable computed form = 0.0000 eV/atom



[12]
A plane-wave DFT calculation with PBE-GGA was carried out for an optimized crystal structure of TaAl2Mo.

extended XYZ file:
```
4
Lattice="2.760 0.000 0.000 0.000 2.760 0.000 0.000 0.000 8.635" Properties=species:S:1:pos:R:3 pbc="T T T"
Ta 0.000 0.000 0.000
Al 0.000 0.000 4.270
Al 1.380 1.380 2.095
Mo 1.380 1.380 6.288
```

crystal system = tetragonal
volume = 16.45 Å³ per atom
formation enthalpy at 0 K = 0.011 eV/atom
symmetry = P4mm
offset from the most stable computed form = 0.2344 eV/atom